No. 1
# Tm2GeB2Ru5 (PBE, relaxed)
# Density of states at the Fermi level ... 17.59 states/eV/cell
# Total energy ... -7.876 eV per atom
# Formation energy ... -0.546 eV/atom
data_Tm2GeB2Ru5
_space_group_name_H-M_alt 'P 1'
_space_group_IT_number 1
_space_group_name_Hall 'P 1'
_cell_length_a 9.510
_cell_length_b 9.510
_cell_length_c 3.092
_cell_angle_alpha 90.00
_cell_angle_beta 90.00
_cell_angle_gamma 90.00
loop_
_atom_site_label
_atom_site_fract_x
_atom_site_fract_y
_atom_site_fract_z
Tm1 0.176 0.324 0.000
Tm2 0.324 0.824 0.000
Tm3 0.676 0.176 0.000
Tm4 0.824 0.676 0.000
Ge1 0.000 0.000 0.000
Ge2 0.500 0.500 0.000
B1 0.123 0.623 0.000
B2 0.377 0.123 0.000
B3 0.623 0.877 0.000
B4 0.877 0.377 0.000
Ru1 0.000 0.500 0.500
Ru2 0.069 0.784 0.500
Ru3 0.216 0.069 0.500
Ru4 0.284 0.569 0.500
Ru5 0.431 0.284 0.500
Ru6 0.500 0.000 0.500
Ru7 0.569 0.716 0.500
Ru8 0.716 0.431 0.500
Ru9 0.784 0.931 0.500
Ru10 0.931 0.216 0.500

***

No. 2
# Li2PrPaS4 (PBE, relaxed)
# Formation energy from raw total energies ... -1.59 eV per atom
# Density of states at the Fermi level ... 6.00 states/eV/cell
# Total energy ... -5.920 eV per atom
data_Li2PrPaS4
_space_group_name_H-M_alt 'P 1'
_space_group_IT_number 1
_space_group_name_Hall 'P 1'
_cell_length_a 6.667
_cell_length_b 3.943
_cell_length_c 6.921
_cell_angle_alpha 90.00
_cell_angle_beta 110.12
_cell_angle_gamma 90.00
loop_
_atom_site_label
_atom_site_fract_x
_atom_site_fract_y
_atom_site_fract_z
Li1 0.000 0.000 0.000
Li2 0.000 0.500 0.500
Pr1 0.500 0.000 0.500
Pa1 0.500 0.500 0.000
S1 0.238 0.500 0.231
S2 0.241 0.000 0.756
S3 0.759 0.000 0.244
S4 0.762 0.500 0.769

***

No. 3
# BaLi4Pd2 (PBE, relaxed)
# Density of states at the Fermi level ... 2.09 states/eV/cell
# Total energy ... -3.176 eV per atom
# Formation energy ... -0.324 eV/atom
# Offset from the most stable computed form ... 0.8 kJ/mol of atoms
data_BaLi4Pd2
_space_group_name_H-M_alt 'P 1'
_space_group_IT_number 1
_space_group_name_Hall 'P 1'
_cell_length_a 7.691
_cell_length_b 7.691
_cell_length_c 4.456
_cell_angle_alpha 90.00
_cell_angle_beta 90.00
_cell_angle_gamma 146.34
loop_
_atom_site_label
_atom_site_fract_x
_atom_site_fract_y
_atom_site_fract_z
Ba1 0.000 0.000 0.000
Li1 0.195 0.805 0.500
Li2 0.317 0.683 0.000
Li3 0.683 0.317 0.000
Li4 0.805 0.195 0.500
Pd1 0.406 0.594 0.500
Pd2 0.594 0.406 0.500

***

No. 4
# Rb4Pr3DySe8 (PBE, relaxed)
# Formation energy from raw total energies ... -1.73 eV per atom
# Density of states at the Fermi level ... 0.00 states/eV/cell
# Total energy ... -4.898 eV per atom
data_Rb4Pr3DySe8
_space_group_name_H-M_alt 'P 1'
_space_group_IT_number 1
_space_group_name_Hall 'P 1'
_cell_length_a 9.480
_cell_length_b 9.480
_cell_length_c 9.480
_cell_angle_alpha 54.89
_cell_angle_beta 54.89
_cell_angle_gamma 54.89
loop_
_atom_site_label
_atom_site_fract_x
_atom_site_fract_y
_atom_site_fract_z
Rb1 0.000 0.000 0.000
Rb2 0.000 0.500 0.500
Rb3 0.500 0.000 0.500
Rb4 0.500 0.500 0.000
Pr1 0.000 0.000 0.500
Pr2 0.000 0.500 0.000
Pr3 0.500 0.000 0.000
Dy1 0.500 0.500 0.500
Se1 0.234 0.234 0.234
Se2 0.242 0.729 0.729
Se3 0.271 0.271 0.758
Se4 0.271 0.758 0.271
Se5 0.729 0.242 0.729
Se6 0.729 0.729 0.242
Se7 0.758 0.271 0.271
Se8 0.766 0.766 0.766

***

No. 5
# YTeCl2 (PBE, relaxed)
# Formation energy from raw total energies ... -1.59 eV per atom
# Density of states at the Fermi level ... 2.28 states/eV/cell
# Total energy ... -4.918 eV per atom
# Offset from the most stable computed form ... 1.3 kJ/mol of atoms
data_YTeCl2
_space_group_name_H-M_alt 'P 1'
_space_group_IT_number 1
_space_group_name_Hall 'P 1'
_cell_length_a 6.251
_cell_length_b 3.690
_cell_length_c 7.270
_cell_angle_alpha 90.00
_cell_angle_beta 115.41
_cell_angle_gamma 90.00
loop_
_atom_site_label
_atom_site_fract_x
_atom_site_fract_y
_atom_site_fract_z
Y1 0.000 0.000 0.000
Te1 0.500 0.000 0.000
Cl1 0.142 0.500 0.285
Cl2 0.858 0.500 0.715

***

No. 6
# CoHgMo2 (PBE, relaxed)
# Density of states at the Fermi level ... 3.30 states/eV/cell
# Total energy ... -6.836 eV per atom
# Formation energy ... 0.432 eV/atom
data_CoHgMo2
_space_group_name_H-M_alt 'P 1'
_space_group_IT_number 1
_space_group_name_Hall 'P 1'
_cell_length_a 2.748
_cell_length_b 4.261
_cell_length_c 5.482
_cell_angle_alpha 90.00
_cell_angle_beta 97.46
_cell_angle_gamma 90.00
loop_
_atom_site_label
_atom_site_fract_x
_atom_site_fract_y
_atom_site_fract_z
Co1 0.000 0.000 0.000
Hg1 0.047 0.500 0.300
Mo1 0.401 0.500 0.827
Mo2 0.617 0.000 0.574

***

No. 7
# Hg3Au2 (PBE, relaxed)
# Density of states at the Fermi level ... 1.43 states/eV/cell
# Total energy ... -1.380 eV per atom
# Formation energy ... 0.112 eV/atom
# Offset from the most stable computed form ... 4.1 kJ/mol of atoms
data_Hg3Au2
_space_group_name_H-M_alt 'P 1'
_space_group_IT_number 1
_space_group_name_Hall 'P 1'
_cell_length_a 9.697
_cell_length_b 9.697
_cell_length_c 9.697
_cell_angle_alpha 22.78
_cell_angle_beta 22.78
_cell_angle_gamma 22.78
loop_
_atom_site_label
_atom_site_fract_x
_atom_site_fract_y
_atom_site_fract_z
Hg1 0.000 0.000 0.000
Hg2 0.204 0.204 0.204
Hg3 0.796 0.796 0.796
Au1 0.398 0.398 0.398
Au2 0.602 0.602 0.602

***

No. 8
# LaNd6Al2 (PBE, relaxed)
# Density of states at the Fermi level ... 9.99 states/eV/cell
# Total energy ... -4.694 eV per atom
# Formation energy ... -0.136 eV/atom
data_LaNd6Al2
_space_group_name_H-M_alt 'P 1'
_space_group_IT_number 1
_space_group_name_Hall 'P 1'
_cell_length_a 6.744
_cell_length_b 6.744
_cell_length_c 12.173
_cell_angle_alpha 108.52
_cell_angle_beta 108.52
_cell_angle_gamma 33.20
loop_
_atom_site_label
_atom_site_fract_x
_atom_site_fract_y
_atom_site_fract_z
La1 0.000 0.000 0.000
Nd1 0.022 0.022 0.326
Nd2 0.310 0.310 0.126
Nd3 0.313 0.313 0.414
Nd4 0.687 0.687 0.586
Nd5 0.690 0.690 0.874
Nd6 0.978 0.978 0.674
Al1 0.347 0.347 0.789
Al2 0.653 0.653 0.211

***

No. 9
# LaIrCl2 (PBE, relaxed)
# Formation energy from raw total energies ... -0.10 eV per atom
# Density of states at the Fermi level ... 5.68 states/eV/cell
# Total energy ... -4.475 eV per atom
# Offset from the most stable computed form ... 85.1 kJ/mol of atoms
data_LaIrCl2
_space_group_name_H-M_alt 'P 1'
_space_group_IT_number 1
_space_group_name_Hall 'P 1'
_cell_length_a 10.900
_cell_length_b 10.900
_cell_length_c 10.900
_cell_angle_alpha 18.02
_cell_angle_beta 18.02
_cell_angle_gamma 18.02
loop_
_atom_site_label
_atom_site_fract_x
_atom_site_fract_y
_atom_site_fract_z
La1 0.000 0.000 0.000
Ir1 0.500 0.500 0.500
Cl1 0.270 0.270 0.270
Cl2 0.730 0.730 0.730

***

No. 10
# ScHg2Ru (PBE, relaxed)
# Density of states at the Fermi level ... 5.29 states/eV/cell
# Total energy ... -4.034 eV per atom
# Formation energy ... 0.019 eV/atom
# Offset from the most stable computed form ... 14.2 kJ/mol of atoms
data_ScHg2Ru
_space_group_name_H-M_alt 'P 1'
_space_group_IT_number 1
_space_group_name_Hall 'P 1'
_cell_length_a 4.748
_cell_length_b 4.748
_cell_length_c 4.748
_cell_angle_alpha 60.00
_cell_angle_beta 60.00
_cell_angle_gamma 60.00
loop_
_atom_site_label
_atom_site_fract_x
_atom_site_fract_y
_atom_site_fract_z
Sc1 0.000 0.000 0.000
Hg1 0.250 0.250 0.250
Hg2 0.750 0.750 0.750
Ru1 0.500 0.500 0.500

***

No. 11
# KGa8Cu2 (PBE, relaxed)
# Density of states at the Fermi level ... 4.66 states/eV/cell
# Total energy ... -2.958 eV per atom
# Formation energy ... 0.088 eV/atom
data_KGa8Cu2
_space_group_name_H-M_alt 'P 1'
_space_group_IT_number 1
_space_group_name_Hall 'P 1'
_cell_length_a 5.589
_cell_length_b 5.589
_cell_length_c 9.256
_cell_angle_alpha 90.00
_cell_angle_beta 90.00
_cell_angle_gamma 90.00
loop_
_atom_site_label
_atom_site_fract_x
_atom_site_fract_y
_atom_site_fract_z
K1 0.000 0.000 0.000
Ga1 0.251 0.251 0.329
Ga2 0.251 0.251 0.671
Ga3 0.251 0.749 0.329
Ga4 0.251 0.749 0.671
Ga5 0.749 0.251 0.329
Ga6 0.749 0.251 0.671
Ga7 0.749 0.749 0.329
Ga8 0.749 0.749 0.671
Cu1 0.000 0.500 0.500
Cu2 0.500 0.000 0.500

***

No. 12
# Pu4PaSi2 (PBE, relaxed)
# Formation energy from raw total energies ... 0.01 eV per atom
# Density of states at the Fermi level ... 16.59 states/eV/cell
# Total energy ... -11.091 eV per atom
data_Pu4PaSi2
_space_group_name_H-M_alt 'P 1'
_space_group_IT_number 1
_space_group_name_Hall 'P 1'
_cell_length_a 6.125
_cell_length_b 6.125
_cell_length_c 6.125
_cell_angle_alpha 127.41
_cell_angle_beta 127.41
_cell_angle_gamma 77.59
loop_
_atom_site_label
_atom_site_fract_x
_atom_site_fract_y
_atom_site_fract_z
Pu1 0.000 0.500 0.500
Pu2 0.250 0.750 0.500
Pu3 0.500 0.000 0.500
Pu4 0.750 0.250 0.500
Pa1 0.000 0.000 0.000
Si1 0.370 0.370 0.000
Si2 0.630 0.630 0.000

***

Number 1: magnetization 0.000 μB/atom. Number 2: magnetization 0.210 μB/atom. Number 3: magnetization 0.000 μB/atom. Number 4: magnetization 0.000 μB/atom. Number 5: magnetization 0.029 μB/atom. Number 6: magnetization 0.000 μB/atom. Number 7: magnetization 0.000 μB/atom. Number 8: magnetization 0.000 μB/atom. Number 9: magnetization 0.384 μB/atom. Number 10: magnetization 0.000 μB/atom. Number 11: magnetization 0.000 μB/atom. Number 12: magnetization 0.118 μB/atom.